No. 1
Entry from Alexandria via LeMat-Bulk: a geometry-optimized Er2ZrTl3S6 structure (PBE-GGA).

Crystal system: monoclinic
Formation energy without anion corrections, meV/atom: -1339

The structure in extended XYZ format:
```
12
Lattice="6.683 -0.004 -0.014 -3.343 5.786 -0.014 -1.130 -1.957 8.045" Properties=species:S:1:pos:R:3 pbc="T T T"
Er 3.340 1.926 -0.014
Tl 1.105 1.913 4.009
Er -0.001 3.856 -0.014
S -0.063 -0.109 6.551
S 2.272 3.935 1.466
S -1.068 1.858 1.476
S 0.066 3.823 6.542
S 3.278 1.968 6.542
Zr 0.000 0.000 0.000
S 2.143 0.003 1.476
Tl -2.236 3.843 4.009
Tl 4.446 -0.017 4.009
```

***

No. 2
Entry from Alexandria via LeMat-Bulk: a geometry-optimized Er4Tm2S9 structure (PBE-GGA).

Crystal system: trigonal
Formation energy without anion corrections, meV/atom: -2063

The structure in extended XYZ format:
```
30
Lattice="-1.007 1.682 -6.541 -0.448 -4.884 -4.751 -18.166 -0.843 2.581" Properties=species:S:1:pos:R:3 pbc="T T T"
S -11.387 -1.040 -4.235
S -13.760 -2.102 0.504
S -17.927 -2.409 -7.144
S -10.946 -0.089 -0.815
S -5.292 -4.589 -6.072
S -14.241 -3.540 -3.356
Er -9.266 -1.475 -2.516
Tm -3.743 1.554 -6.151
S -8.235 -3.006 -4.476
S -2.134 -2.623 -4.978
Er -15.811 -2.823 -5.421
S -14.329 0.543 -2.638
S -2.170 0.845 -4.099
S -8.707 -0.497 -6.984
Tm -11.820 -0.548 1.678
Er -10.356 -2.570 -6.195
S -17.488 -1.423 -3.733
S -10.915 -3.548 -1.727
Er -1.273 -2.149 -7.484
Er -3.811 -1.222 -3.290
Er -18.349 -1.896 -1.227
Tm -15.878 -5.599 -2.560
S -8.675 -3.957 -7.896
S -5.380 -0.506 -5.355
Er -6.727 -2.402 -6.708
Er -12.894 -1.643 -2.003
S -17.451 -4.891 -4.612
S -1.694 -1.636 -1.567
Tm -7.802 -3.497 -10.388
S -5.861 -1.944 -9.215
```

***

No. 3
Entry from Alexandria via LeMat-Bulk: a geometry-optimized Er4TmS7 structure (PBE-GGA).

Crystal system: monoclinic
Formation energy without anion corrections, meV/atom: -2065

The structure in extended XYZ format:
```
12
Lattice="-0.637 3.327 -1.652 -5.935 -2.782 0.983 2.231 5.365 9.941" Properties=species:S:1:pos:R:3 pbc="T T T"
S -2.143 4.327 9.538
S -2.194 1.582 -0.268
S 1.239 4.116 7.809
Tm -3.880 3.898 5.045
Er -4.339 5.908 9.269
Er -0.458 2.013 4.228
Er -3.333 0.336 1.961
S -2.548 3.019 2.764
S -5.577 1.790 1.455
S -1.808 2.889 6.513
S -5.130 1.568 5.133
Er -1.006 5.573 7.311
```

***

No. 4
Entry from Alexandria via LeMat-Bulk: a geometry-optimized ErTmS structure (PBE-GGA).

Crystal system: orthorhombic
Formation energy without anion corrections, meV/atom: -680

The structure in extended XYZ format:
```
6
Lattice="5.567 0.000 0.000 0.000 6.033 -0.661 0.000 -3.190 5.163" Properties=species:S:1:pos:R:3 pbc="T T T"
S 4.175 4.039 0.598
Tm 2.783 0.000 0.000
Er 4.175 -0.387 3.393
Tm 0.000 0.000 0.000
Er 1.392 3.230 1.109
S 1.392 -1.196 3.904
```

***

No. 5
Entry from Alexandria via LeMat-Bulk: a geometry-optimized ErTmS2 structure (PBE-GGA).

Crystal system: monoclinic
Formation energy without anion corrections, meV/atom: -1943

The structure in extended XYZ format:
```
4
Lattice="3.854 0.005 0.019 1.911 3.347 0.019 1.910 1.110 6.284" Properties=species:S:1:pos:R:3 pbc="T T T"
S 5.756 3.347 4.755
Tm 0.000 0.000 0.000
Er 3.837 2.231 3.161
S 1.918 1.115 1.567
```

***

No. 6
Entry from Alexandria via LeMat-Bulk: a geometry-optimized Er2TmS4 structure (PBE-GGA).

Crystal system: orthorhombic
Formation energy without anion corrections, meV/atom: -2063

The structure in extended XYZ format:
```
14
Lattice="-2.222 7.081 -2.255 -7.324 1.334 -1.935 -4.393 4.332 4.593" Properties=species:S:1:pos:R:3 pbc="T T T"
S -5.671 5.303 2.416
Er -5.858 2.833 1.329
S -8.267 7.443 -2.013
Er -2.196 2.166 2.297
S -7.126 3.805 -0.854
S -10.477 9.560 0.324
Er -3.307 5.706 1.169
S -6.813 8.941 1.257
S -4.626 6.719 -1.021
Tm -4.773 4.207 -2.095
S -9.313 6.027 1.424
Tm -3.662 0.667 -0.968
Er 0.000 0.000 0.000
S -3.462 3.187 0.079
```

***

No. 7
Entry from Alexandria via LeMat-Bulk: a geometry-optimized Er2TmS4 structure (PBE-GGA).

Crystal system: monoclinic
Formation energy without anion corrections, meV/atom: -2010

The structure in extended XYZ format:
```
7
Lattice="3.899 0.000 0.000 0.000 6.808 -0.174 -1.949 -3.489 6.417" Properties=species:S:1:pos:R:3 pbc="T T T"
S 1.949 -1.331 4.797
S 0.000 4.649 1.445
Tm 0.000 0.000 0.000
S 1.949 0.907 1.713
Er 1.949 3.417 2.797
Er 0.000 -0.099 3.446
S 0.000 2.412 4.530
```

***

No. 8
Entry from Alexandria via LeMat-Bulk: a geometry-optimized ErTmS structure (PBE-GGA).

Crystal system: tetragonal
Formation energy without anion corrections, meV/atom: -1011

The structure in extended XYZ format:
```
3
Lattice="3.434 0.000 0.000 0.000 3.434 0.000 -1.717 -1.717 5.951" Properties=species:S:1:pos:R:3 pbc="T T T"
Er 1.717 1.717 5.661
S 0.000 0.000 3.960
Tm 1.717 1.717 2.281
```

***

No. 9
Entry from Alexandria via LeMat-Bulk: a geometry-optimized Er2Tm3S4 structure (PBE-GGA).

Crystal system: trigonal
Formation energy without anion corrections, meV/atom: -1722

The structure in extended XYZ format:
```
9
Lattice="-3.713 0.201 0.776 2.117 -2.749 1.545 3.069 9.284 12.302" Properties=species:S:1:pos:R:3 pbc="T T T"
Tm -0.504 3.040 6.098
S -2.769 3.049 4.551
S -1.457 0.159 2.281
Er 0.666 6.593 10.804
S 4.242 3.687 10.072
Er 0.807 0.143 3.820
Tm 1.977 3.696 8.525
S 2.930 6.576 12.342
Tm 0.000 0.000 0.000
```

***

No. 10
Entry from Alexandria via LeMat-Bulk: a geometry-optimized Er2TmS2 structure (PBE-GGA).

Crystal system: trigonal
Formation energy without anion corrections, meV/atom: -1552

The structure in extended XYZ format:
```
5
Lattice="-2.142 -2.191 -2.181 1.343 -3.275 -1.271 -3.626 -6.181 6.528" Properties=species:S:1:pos:R:3 pbc="T T T"
Er -1.453 -3.361 1.560
Tm 0.000 0.000 0.000
S -1.103 -4.385 -0.997
S -3.322 -7.262 4.073
Er -2.972 -8.286 1.515
```

***

No. 11
Entry from Alexandria via LeMat-Bulk: a geometry-optimized ErTm4S6 structure (PBE-GGA).

Crystal system: orthorhombic
Formation energy without anion corrections, meV/atom: -2005

The structure in extended XYZ format:
```
22
Lattice="-2.072 2.586 -1.799 0.006 -5.393 -3.809 -16.029 -6.482 9.150" Properties=species:S:1:pos:R:3 pbc="T T T"
S -5.446 -2.574 2.574
S -8.188 -3.585 0.327
Tm -0.920 -1.393 -0.943
Tm -7.666 -4.121 2.907
Tm -2.884 -4.176 -2.682
S -15.319 -7.794 2.491
S -1.036 1.293 -0.899
Tm -17.176 -7.895 4.485
S -13.456 -5.150 4.146
S -12.649 -6.715 0.968
Tm -15.212 -5.113 6.224
S -15.086 -7.798 6.170
S -4.640 -4.138 -0.604
S -9.051 -1.948 3.675
S -3.010 -1.491 -2.628
S -2.777 -1.495 1.050
Er -12.741 -7.723 3.576
Tm -10.429 -5.167 0.634
Tm -11.281 -3.523 3.980
S -9.908 -5.704 3.214
Er -5.355 -1.566 -0.034
Tm -6.814 -5.765 -0.438
```

***

No. 12
Entry from Alexandria via LeMat-Bulk: a geometry-optimized Er3TmS3 structure (PBE-GGA).

Crystal system: tetragonal
Formation energy without anion corrections, meV/atom: -1652

The structure in extended XYZ format:
```
28
Lattice="-3.784 -1.776 3.421 2.868 -10.196 -2.121 7.155 0.330 8.086" Properties=species:S:1:pos:R:3 pbc="T T T"
Er 6.270 -6.172 3.732
Er 1.514 -9.763 0.871
S 3.403 -8.882 -0.847
S 2.949 -1.978 6.500
Er 4.833 -1.030 4.811
Er 2.666 -6.351 -0.349
S 3.290 -9.664 2.887
Er 1.181 -2.056 4.503
Er 7.357 -3.514 6.314
Tm 3.641 -4.540 5.935
S 3.028 -1.158 2.748
S 4.370 -7.053 5.438
Tm 2.598 -7.102 3.451
S 0.812 -7.225 1.412
S 1.868 -4.589 3.948
Er 0.102 -4.707 1.933
Er 4.724 -1.879 8.515
S 5.426 -4.417 7.974
Er 3.753 -3.694 2.234
S 8.055 -6.106 5.740
S 6.619 -0.984 6.812
Er 5.057 -9.585 4.883
Tm 1.220 -1.200 0.726
S 6.995 -8.708 3.217
Tm 8.803 -8.665 5.239
S 1.968 -3.760 0.225
Er 5.190 -8.836 1.154
Er 6.137 -6.934 7.453
```